# SrP2H

A relaxed structure of SrP2H (PBE-GGA, Alexandria via LeMat-Bulk).

- DFT total energy (eV per atom) = -3.30
- D(E_F) (states/eV/cell) = 2.65
- space-group type = Fm-3m
- crystal system = cubic

Structure (POSCAR):
```
SrP2H
1.0
-4.703 -0.751 0.806
-1.838 0.714 4.409
-2.939 3.745 0.814
Sr H P
1 1 2
Cartesian
-4.740 1.854 3.015
0.000 0.000 0.000
-2.370 0.927 1.507
-7.110 2.781 4.522
```

# BaCo3Os

A relaxed structure of BaCo3Os (PBE-GGA, Alexandria via LeMat-Bulk).

- DFT total energy (eV per atom) = -4.08
- D(E_F) (states/eV/cell) = 5.26
- space-group type = Pm-3m
- crystal system = cubic

Structure (POSCAR):
```
BaCo3Os
1.0
4.683 0.000 0.000
0.000 4.683 0.000
0.000 0.000 4.683
Co Os Ba
3 1 1
Cartesian
0.000 2.341 0.000
0.000 0.000 2.341
2.341 0.000 0.000
2.341 2.341 2.341
0.000 0.000 0.000
```

# K2Np3RhO12

A relaxed structure of K2Np3RhO12 (PBE-GGA, Alexandria via LeMat-Bulk).

- energy relative to the elements, uncorrected (eV/atom) = -2.302
- D(E_F) (states/eV/cell) = 10.57
- space-group type = R-3m
- crystal system = trigonal

Structure (POSCAR):
```
K2Np3RhO12
1.0
7.456 -0.200 -0.142
3.508 6.583 -0.142
3.508 2.042 6.259
K Np Rh O
2 3 1 12
Cartesian
9.255 5.387 3.821
5.218 3.037 2.154
3.728 -0.100 -0.071
1.754 3.291 -0.071
1.754 1.021 3.130
0.000 0.000 0.000
6.841 3.982 5.796
11.370 6.618 1.670
8.888 8.028 5.694
9.279 2.597 1.842
11.370 3.764 5.694
6.841 6.786 1.842
7.632 4.443 0.179
3.103 1.806 4.306
5.585 0.396 0.281
5.194 5.828 4.134
3.103 4.661 0.281
7.632 1.638 4.134
```

# Ti6Co3H

A relaxed structure of Ti6Co3H (PBE-GGA, Alexandria via LeMat-Bulk).

- DFT total energy (eV per atom) = -7.40
- D(E_F) (states/eV/cell) = 18.69
- space-group type = P2_1/c
- crystal system = monoclinic

Structure (POSCAR):
```
Ti6Co3H
1.0
5.126 0.000 0.027
0.000 6.499 0.000
0.137 0.000 8.151
Ti Co H
12 6 2
Cartesian
3.478 0.962 7.785
3.341 1.422 4.627
3.470 2.898 2.085
1.793 3.601 6.092
1.922 5.077 3.551
1.785 5.537 0.392
0.846 2.287 3.696
0.710 1.827 0.538
0.976 0.351 6.148
4.287 6.148 2.030
4.553 4.672 7.640
4.417 4.212 4.481
3.314 5.874 5.859
2.563 3.250 0.013
1.949 0.625 2.319
0.683 3.875 1.770
0.069 0.000 4.076
4.580 2.624 6.407
2.631 3.250 4.089
0.000 0.000 0.000
```

# SrTl2In

A relaxed structure of SrTl2In (PBE-GGA, Alexandria via LeMat-Bulk).

- DFT total energy (eV per atom) = -2.34
- D(E_F) (states/eV/cell) = 3.48
- space-group type = R-3m
- crystal system = trigonal

Structure (POSCAR):
```
SrTl2In
1.0
-7.827 -4.881 5.313
-4.815 -5.826 7.495
-6.572 -2.453 8.007
In Sr Tl
1 1 2
Cartesian
-4.803 -3.290 5.204
-14.410 -9.870 15.612
-19.144 -13.112 20.740
-9.677 -6.628 10.484
```

# NaReNi

A relaxed structure of NaReNi (PBE-GGA, Alexandria via LeMat-Bulk).

- DFT total energy (eV per atom) = -5.63
- D(E_F) (states/eV/cell) = 5.43
- space-group type = P-6m2
- crystal system = hexagonal

Structure (POSCAR):
```
NaReNi
1.0
-0.024 4.007 1.665
-3.746 -2.030 -0.825
0.030 -2.567 6.177
Re Na Ni
2 2 2
Cartesian
-2.500 -0.459 1.068
-2.481 -2.142 5.119
-1.265 1.995 0.835
-1.250 0.712 3.924
0.006 -0.481 1.157
0.024 -2.086 5.021
```